# Mn2TlAuI8

An optimized crystal structure of Mn2TlAuI8 (PBE-GGA, the Alexandria database).

Properties
ΔE_f (raw) = -0.2755 eV/atom
Raw total energy = -3.31 eV per atom
V = 39.48 Å³ per atom

abc: 7.3713 7.3713 10.0685
angles: 90.00 90.00 120.00
Space group P-3 (No. 147)
One atom of each set of equivalent atoms:
Mn1 0.3333 0.6667 0.2424 (multiplicity 2)
Tl1 0.0000 0.0000 0.5000 (multiplicity 1)
Au1 0.0000 0.0000 0.0000 (multiplicity 1)
I1 0.0043 0.6881 0.8232 (multiplicity 6)
I2 0.3333 0.6667 0.5000 (multiplicity 2)